[1]
This record from Alexandria via LeMat-Bulk describes a relaxed structure of Ac6Cu2Hg. The functional is PBE.

Computed properties:
- electronic total energy (eV/atom) = -3.82
- total magnetization (μB per cell) = 0.00

Cell lengths 10.2406, 10.9431, 11.2773 Å; angles 90.00, 90.00, 90.00 degrees
With the nearest neighbours (Å) after each atom.
Space group Immm (No. 71)
Inequivalent atoms, fractional coordinates:
1 Ac 0.0000 0.1881 0.2386 x8  1 Cu 3.19, 1 Hg 3.39
2 Ac 0.1875 0.5000 0.1728 x8  3 Cu 3.08-3.22
3 Ac 0.2159 0.3222 0.5000 x8  3 Cu 3.21-3.43, 1 Hg 3.50
4 Cu 0.0000 0.3443 0.0000 x4  8 Ac 3.19-3.43, 1 Cu 3.41
5 Cu 0.0000 0.5000 0.3859 x4  1 Cu 2.57
6 Hg 0.0000 0.0000 0.0000 x2  8 Ac 3.39-3.50, 2 Cu 3.77
7 Hg 0.0000 0.0000 0.5000 x2  8 Ac 3.59-3.75



[2]
This record from Alexandria via LeMat-Bulk describes a relaxed structure of AcCuHg3. The functional is PBE.

Computed properties:
- polymorph energy (0 for the lowest one) (kJ/mol of formula units) = 55
- total magnetization (μB per cell) = 0.00

Cell lengths 5.0999, 5.0999, 5.0999 Å; angles 90.00, 90.00, 90.00 degrees
With the nearest neighbours (Å) after each atom.
Space group Pm-3m (No. 221)
Inequivalent atoms, fractional coordinates:
1 Ac 0.0000 0.0000 0.0000 x1  12 Hg 3.61
2 Cu 0.5000 0.5000 0.5000 x1  6 Hg 2.55
3 Hg 0.0000 0.5000 0.5000 x3  2 Cu 2.55



[3]
This record from Alexandria via LeMat-Bulk describes a relaxed structure of Ac4CuHg. The functional is PBE.

Computed properties:
- polymorph energy (0 for the lowest one) (kJ/mol of formula units) = 99
- total magnetization (μB per cell) = 0.00

Cell lengths 7.6796, 7.6793, 7.7981 Å; angles 90.00, 90.01, 90.00 degrees
With the nearest neighbours (Å) after each atom.
Space group Cm (No. 8)
Inequivalent atoms, fractional coordinates:
1 Ac 0.0000 0.2499 0.0000 x4  2 Cu 3.28-3.29, 2 Hg 3.41
2 Ac 0.9998 0.2495 0.4721 x4  2 Cu 3.27-3.28, 2 Hg 3.41
3 Cu 0.2507 0.0000 0.2368 x2  8 Ac 3.27-3.29
4 Hg 0.2499 0.5000 0.7360 x2  8 Ac 3.41



[4]
This record from Alexandria via LeMat-Bulk describes a relaxed structure of AcCuHg. The functional is PBE.

Computed properties:
- polymorph energy (0 for the lowest one) (kJ/mol of formula units) = 35
- total magnetization (μB per cell) = 0.00

Cell lengths 6.9796, 6.9796, 6.9796 Å; angles 90.00, 90.00, 90.00 degrees
With the nearest neighbours (Å) after each atom.
Space group F-43m (No. 216)
Inequivalent atoms, fractional coordinates:
1 Ac 0.0000 0.0000 0.0000 x4  4 Cu 3.02
2 Cu 0.2500 0.2500 0.7500 x4  4 Hg 3.02, 4 Ac 3.02
3 Hg 0.0000 0.0000 0.5000 x4  4 Cu 3.02



[5]
This record from Alexandria via LeMat-Bulk describes a relaxed structure of Ac3Cu4Hg2. The functional is PBE.

Computed properties:
- electronic total energy (eV/atom) = -3.53
- total magnetization (μB per cell) = 0.00

Cell lengths 11.6383, 4.5844, 9.0221 Å; angles 90.00, 108.78, 90.00 degrees
With the nearest neighbours (Å) after each atom.
Space group C2/m (No. 12)
Inequivalent atoms, fractional coordinates:
1 Ac 0.0000 0.0000 0.0000 x2  8 Cu 3.33-3.48, 4 Hg 3.40
2 Ac 0.1576 0.5000 0.6769 x4  7 Cu 3.18-3.33, 4 Hg 3.37-3.43
3 Cu 0.0573 0.0000 0.4036 x4  1 Cu 2.51, 2 Hg 2.74
4 Cu 0.2277 0.5000 0.0476 x4  2 Cu 2.56, 1 Hg 2.79
5 Hg 0.1225 0.5000 0.2847 x4  3 Cu 2.74-2.79



[6]
This record from Alexandria via LeMat-Bulk describes a relaxed structure of Ac4CuHg. The functional is PBE.

Computed properties:
- polymorph energy (0 for the lowest one) (kJ/mol of formula units) = 0
- total magnetization (μB per cell) = 0.00

Cell lengths 3.9271, 3.9271, 13.8209 Å; angles 90.00, 90.00, 90.00 degrees
With the nearest neighbours (Å) after each atom.
Space group P4/mmm (No. 123)
Inequivalent atoms, fractional coordinates:
1 Ac 0.0000 0.0000 0.1318 x2  4 Cu 3.32, 1 Ac 3.64
2 Ac 0.5000 0.5000 0.3487 x2  4 Hg 3.48
3 Cu 0.5000 0.5000 0.0000 x1  8 Ac 3.32
4 Hg 0.0000 0.0000 0.5000 x1  8 Ac 3.48